1.
# ZrIn2Au

An optimized crystal structure of ZrIn2Au (PBE, Alexandria).

Lattice parameters (Å, degrees): 7.8796 7.8796 5.9951 90.00 90.00 90.00
Fractional coordinates of all 16 atoms:
Zr 0.0000 0.0000 0.0000
Zr 0.0000 0.5000 0.2500
Zr 0.5000 0.0000 0.7500
Zr 0.5000 0.5000 0.5000
In 0.2231 0.2500 0.6250
In 0.2500 0.7231 0.8750
In 0.2500 0.7769 0.3750
In 0.2769 0.2500 0.1250
In 0.7231 0.7500 0.1250
In 0.7500 0.2231 0.3750
In 0.7500 0.2769 0.8750
In 0.7769 0.7500 0.6250
Au 0.0000 0.0000 0.5000
Au 0.0000 0.5000 0.7500
Au 0.5000 0.0000 0.2500
Au 0.5000 0.5000 0.0000

Summary:
SG: I-42d (122)
Formation enthalpy at 0 K (eV per atom): -0.08
E above lowest polymorph (eV per formula unit): 1.11

***

2.
# LaGa3S

An optimized crystal structure of LaGa3S (PBE, Alexandria).

Lattice parameters (Å, degrees): 5.0011 5.0011 5.0011 90.00 90.00 90.00
Fractional coordinates of all 5 atoms:
La 0.0000 0.0000 0.0000
Ga 0.0000 0.5000 0.5000
Ga 0.5000 0.0000 0.5000
Ga 0.5000 0.5000 0.0000
S 0.5000 0.5000 0.5000

Summary:
SG: Pm-3m (221)
E_form (uncorrected) (eV/f.u.): -0.19
E above lowest polymorph (eV per formula unit): 0.00

***

3.
# CrSb3

An optimized crystal structure of CrSb3 (PBE, Alexandria).

Lattice parameters (Å, degrees): 3.2490 4.8558 12.6916 90.00 90.00 90.00
Fractional coordinates of all 8 atoms:
Cr 0.0000 0.0000 0.0000
Cr 0.5000 0.5000 0.5000
Sb 0.0000 0.0000 0.5000
Sb 0.0000 0.5000 0.3148
Sb 0.0000 0.5000 0.6852
Sb 0.5000 0.0000 0.1852
Sb 0.5000 0.0000 0.8148
Sb 0.5000 0.5000 0.0000

Summary:
SG: Immm (71)
E_form (uncorrected) (eV/f.u.): 1.05
E above lowest polymorph (eV per formula unit): 0.38

***

4.
# Ac3PdRh2

An optimized crystal structure of Ac3PdRh2 (PBE, Alexandria).

Lattice parameters (Å, degrees): 7.4907 7.4907 8.6242 106.71 106.71 48.09
Fractional coordinates of all 12 atoms:
Ac 0.0006 0.9994 0.7500
Ac 0.3251 0.3256 0.4127
Ac 0.3256 0.3251 0.9127
Ac 0.6744 0.6749 0.0873
Ac 0.6749 0.6744 0.5873
Ac 0.9994 0.0006 0.2500
Pd 0.4993 0.5007 0.2500
Pd 0.5007 0.4993 0.7500
Rh 0.1618 0.1626 0.0810
Rh 0.1626 0.1618 0.5810
Rh 0.8374 0.8382 0.4190
Rh 0.8382 0.8374 0.9190

Summary:
SG: C2/c (15)
Formation enthalpy at 0 K (eV per atom): -0.67

***

Calculated total energy for every record listed, in sequence, given in eV per atom: -4.4079, -3.6652, -5.2356, -6.0445.